VASP calculation (PBE) on a relaxed structure of ZrSc2In.

Lattice parameters (Å, degrees): 5.3368 5.3368 6.4423 90.00 90.00 94.08
Element x y z (fractional)
Zr1 0.2029 0.7971 0.7500
Zr2 0.7971 0.2029 0.2500
Sc1 0.2893 0.2893 0.0000
Sc2 0.2893 0.2893 0.5000
Sc3 0.7107 0.7107 0.0000
Sc4 0.7107 0.7107 0.5000
In1 0.2149 0.7851 0.2500
In2 0.7851 0.2149 0.7500

Properties
SG: No. 63
M_tot, Bohr magnetons per cell: 1.55
E_tot, eV/atom: -6.131